(1)
A plane-wave DFT calculation with PBE-GGA was carried out for a relaxed structure of Tb7Pm16Y6.

Calculated formation energy ... 5.97 eV per formula unit

Cell: 11.2880 11.2880 11.2880 Å, 60.00 60.00 60.00°
Last column: nearest neighbours and their distance in Å.
Atoms (fractional coordinates):
Tb1 0.0000 0.0000 0.0000  8 Pm 3.43
Tb2 0.0000 0.0000 0.5000  8 Pm 3.29-3.46
Tb3 0.0000 0.5000 0.0000  8 Pm 3.29-3.46
Tb4 0.0000 0.5000 0.5000  8 Pm 3.29-3.46
Tb5 0.5000 0.0000 0.0000  8 Pm 3.29-3.46
Tb6 0.5000 0.0000 0.5000  8 Pm 3.29-3.46
Tb7 0.5000 0.5000 0.0000  8 Pm 3.29-3.46
Pm1 0.0462 0.6513 0.6513  3 Tb 3.29, 3 Y 3.63, 3 Pm 3.64
Pm2 0.1242 0.1242 0.1242  4 Tb 3.43-3.46, 3 Pm 3.64, 3 Y 3.66
Pm3 0.1242 0.1242 0.6275  4 Tb 3.43-3.46, 3 Pm 3.64, 3 Y 3.66
Pm4 0.1242 0.6275 0.1242  4 Tb 3.43-3.46, 3 Pm 3.64, 3 Y 3.66
Pm5 0.3487 0.3487 0.3487  3 Tb 3.29, 3 Y 3.63, 3 Pm 3.64
Pm6 0.3487 0.3487 0.9538  3 Tb 3.29, 3 Y 3.63, 3 Pm 3.64
Pm7 0.3487 0.9538 0.3487  3 Tb 3.29, 3 Y 3.63, 3 Pm 3.64
Pm8 0.3725 0.8758 0.8758  4 Tb 3.43-3.46, 3 Pm 3.64, 3 Y 3.66
Pm9 0.6275 0.1242 0.1242  4 Tb 3.43-3.46, 3 Pm 3.64, 3 Y 3.66
Pm10 0.6513 0.0462 0.6513  3 Tb 3.29, 3 Y 3.63, 3 Pm 3.64
Pm11 0.6513 0.6513 0.0462  3 Tb 3.29, 3 Y 3.63, 3 Pm 3.64
Pm12 0.6513 0.6513 0.6513  3 Tb 3.29, 3 Y 3.63, 3 Pm 3.64
Pm13 0.8758 0.3725 0.8758  4 Tb 3.43-3.46, 3 Pm 3.64, 3 Y 3.66
Pm14 0.8758 0.8758 0.3725  4 Tb 3.43-3.46, 3 Pm 3.64, 3 Y 3.66
Pm15 0.8758 0.8758 0.8758  4 Tb 3.43-3.46, 3 Pm 3.64, 3 Y 3.66
Pm16 0.9538 0.3487 0.3487  3 Tb 3.29, 3 Y 3.63, 3 Pm 3.64
Y1 0.2716 0.2716 0.7284  8 Pm 3.63-3.66, 4 Tb 4.01
Y2 0.2716 0.7284 0.2716  8 Pm 3.63-3.66, 4 Tb 4.01
Y3 0.2716 0.7284 0.7284  8 Pm 3.63-3.66, 4 Tb 4.01
Y4 0.7284 0.2716 0.2716  8 Pm 3.63-3.66, 4 Tb 4.01
Y5 0.7284 0.2716 0.7284  8 Pm 3.63-3.66, 4 Tb 4.01
Y6 0.7284 0.7284 0.2716  8 Pm 3.63-3.66, 4 Tb 4.01

***

(2)
A plane-wave DFT calculation with PBE-GGA was carried out for a relaxed structure of UMnTl2Cl8.

E ... -0.341 Ry per atom

Cell: 6.6655 7.1269 8.3303 Å, 89.72 89.72 86.96°
Last column: nearest neighbours and their distance in Å.
Atoms (fractional coordinates):
U1 0.0000 0.0000 0.0000  6 Cl 2.61-2.67
Mn1 0.0000 0.0000 0.5000  2 Cl 2.33
Tl1 0.4964 0.4947 0.2687  6 Cl 3.16-3.39
Tl2 0.5036 0.5053 0.7313  6 Cl 3.16-3.39
Cl1 0.1928 0.7182 0.5005  1 Mn 2.33
Cl2 0.2132 0.6814 0.0002  1 U 2.61
Cl3 0.2190 0.1247 0.2406  1 U 2.67, 1 Mn 2.77
Cl4 0.2208 0.1254 0.7613  1 U 2.65, 1 Mn 2.81
Cl5 0.7792 0.8746 0.2387  1 U 2.65, 1 Mn 2.81
Cl6 0.7810 0.8753 0.7594  1 U 2.67, 1 Mn 2.77
Cl7 0.7868 0.3186 0.9998  1 U 2.61
Cl8 0.8072 0.2818 0.4995  1 Mn 2.33

***

(3)
A plane-wave DFT calculation with PBE-GGA was carried out for a relaxed structure of KBeTc2O8.

E ... -0.513 Ry per atom

Cell: 6.6677 6.6677 7.6831 Å, 119.42 119.42 46.07°
Last column: nearest neighbours and their distance in Å.
Atoms (fractional coordinates):
K1 0.0000 0.0000 0.0000  2 O 2.71
Be1 0.5000 0.5000 0.5000  4 O 1.71
Tc1 0.1880 0.1880 0.6490  4 O 1.74-1.79
Tc2 0.8120 0.8120 0.3510  4 O 1.74-1.79
O1 0.1683 0.6219 0.3365  1 Be 1.71, 1 Tc 1.79
O2 0.1747 0.1747 0.4115  1 Tc 1.74
O3 0.3489 0.3489 0.8503  1 Tc 1.74
O4 0.3781 0.8317 0.6635  1 Be 1.71, 1 Tc 1.79
O5 0.6219 0.1683 0.3365  1 Be 1.71, 1 Tc 1.79
O6 0.6511 0.6511 0.1497  1 Tc 1.74
O7 0.8253 0.8253 0.5885  1 Tc 1.74
O8 0.8317 0.3781 0.6635  1 Be 1.71, 1 Tc 1.79

***

(4)
A plane-wave DFT calculation with PBE-GGA was carried out for a relaxed structure of Li2CeGa2.

Calculated formation energy ... -1.65 eV per formula unit
E above lowest polymorph ... 0.00 eV/f.u.

Cell: 12.9667 12.9667 12.9667 Å, 164.44 159.64 25.73°
Last column: nearest neighbours and their distance in Å.
Atoms (fractional coordinates):
Li1 0.0444 0.2944 0.7500  2 Ga 2.60, 6 Li 2.85-2.90
Li2 0.4457 0.1957 0.2500  2 Ga 2.83, 4 Li 2.90
Li3 0.5543 0.8043 0.7500  2 Ga 2.83, 4 Li 2.90
Li4 0.9556 0.7056 0.2500  2 Ga 2.60, 6 Li 2.85-2.90
Ce1 0.3283 0.5783 0.7500  10 Ga 3.17, 2 Li 3.45, 2 Ce 3.51
Ce2 0.6717 0.4217 0.2500  10 Ga 3.17, 2 Li 3.45, 2 Ce 3.51
Ga1 0.1201 0.8701 0.2500  4 Li 2.60-2.83, 1 Ga 2.62
Ga2 0.2239 0.9739 0.2500  3 Ga 2.62-2.64
Ga3 0.7761 0.0261 0.7500  3 Ga 2.62-2.64
Ga4 0.8799 0.1299 0.7500  4 Li 2.60-2.83, 1 Ga 2.62

***

(5)
A plane-wave DFT calculation with PBE-GGA was carried out for a relaxed structure of KSr3Tl.

Calculated formation energy ... -0.33 eV per formula unit
E above lowest polymorph ... 0.00 eV/f.u.

Cell: 6.5669 6.5669 6.5669 Å, 90.00 90.00 90.00°
Last column: nearest neighbours and their distance in Å.
Atoms (fractional coordinates):
K1 0.0000 0.0000 0.0000  12 Sr 4.64
Sr1 0.0000 0.5000 0.5000  2 Tl 3.28
Sr2 0.5000 0.0000 0.5000  2 Tl 3.28
Sr3 0.5000 0.5000 0.0000  2 Tl 3.28
Tl1 0.5000 0.5000 0.5000  6 Sr 3.28

***

(6)
A plane-wave DFT calculation with PBE-GGA was carried out for a relaxed structure of TaZn2PW.

Calculated formation energy ... 6.36 eV per formula unit

Cell: 4.7943 4.7943 4.4791 Å, 90.00 90.00 90.00°
Last column: nearest neighbours and their distance in Å.
Atoms (fractional coordinates):
Ta1 0.0000 0.0000 0.0000  8 Zn 3.28, 4 P 3.39
Zn1 0.0000 0.5000 0.5000  2 W 2.40
Zn2 0.5000 0.0000 0.5000  2 W 2.40
P1 0.5000 0.5000 0.0000  2 W 2.24
W1 0.5000 0.5000 0.5000  2 P 2.24, 4 Zn 2.40

***

Q: What is the formula in the first record?
A: Tb7Pm16Y6